{
  "formula": "Zr3AsW",
  "functional": "GGA-PBE",
  "state": "optimized geometry",
  "vol_a3_per_atom": 26.07,
  "de_polymorph_ev_per_atom": 0.235,
  "delta_e_f_mev_per_atom": 792,
  "e_tot_ev_per_cell": -39.3,
  "total_magnetization_mub_per_cell": 1.2,
  "lattice_angstrom": [[5.0705, 0.0000, 0.0000], [0.0000, 5.0705, 0.0000], [0.0000, 0.0000, 5.0705]],
  "species": ["Zr", "Zr", "Zr", "As", "W"],
  "frac_coords": [[0.0000, 0.0000, 0.5000], [0.0000, 0.5000, 0.0000], [0.5000, 0.0000, 0.0000], [0.5000, 0.5000, 0.5000], [0.0000, 0.0000, 0.0000]]
}